# Sr3InAg2 (PBE, optimized geometry)
# * crystal system: tetragonal
data_Sr3InAg2
_cell_length_a 3.9398
_cell_length_b 3.9398
_cell_length_c 12.2218
_cell_angle_alpha 90.00
_cell_angle_beta 90.00
_cell_angle_gamma 90.00
_space_group_name_H-M_alt 'P 4/m m m'
_space_group_IT_number 123
_space_group_name_Hall '-P 4 2'
loop_
_atom_site_label
_atom_site_type_symbol
_atom_site_fract_x
_atom_site_fract_y
_atom_site_fract_z
_atom_site_occupancy
Sr1 Sr 0.0000 0.0000 0.0000 1
Sr2 Sr 0.0000 0.0000 0.3243 1
In1 In 0.5000 0.5000 0.5000 1
Ag1 Ag 0.5000 0.5000 0.1613 1

# KSrZr2 (PBE, optimized geometry)
# * crystal system: tetragonal
data_KSrZr2
_cell_length_a 3.3983
_cell_length_b 3.3983
_cell_length_c 12.2680
_cell_angle_alpha 90.00
_cell_angle_beta 90.00
_cell_angle_gamma 90.00
_space_group_name_H-M_alt 'P 4 m m'
_space_group_IT_number 99
_space_group_name_Hall 'P 4 -2'
loop_
_atom_site_label
_atom_site_type_symbol
_atom_site_fract_x
_atom_site_fract_y
_atom_site_fract_z
_atom_site_occupancy
K1 K 0.0000 0.0000 0.0000 1
Sr1 Sr 0.5000 0.5000 0.3206 1
Zr1 Zr 0.0000 0.0000 0.5633 1
Zr2 Zr 0.5000 0.5000 0.7210 1

# CdGePd (PBE, optimized geometry)
# * crystal system: tetragonal
data_CdGePd
_cell_length_a 3.1537
_cell_length_b 3.1537
_cell_length_c 22.3890
_cell_angle_alpha 90.00
_cell_angle_beta 90.00
_cell_angle_gamma 90.00
_space_group_name_H-M_alt 'I 4/m m m'
_space_group_IT_number 139
_space_group_name_Hall '-I 4 2'
loop_
_atom_site_label
_atom_site_type_symbol
_atom_site_fract_x
_atom_site_fract_y
_atom_site_fract_z
_atom_site_occupancy
Cd1 Cd 0.0000 0.0000 0.2014 1
Ge1 Ge 0.0000 0.0000 0.0566 1
Pd1 Pd 0.0000 0.0000 0.3854 1

# SiGeI2 (PBE, optimized geometry)
# * crystal system: tetragonal
# * formation energy from raw total energies: 2.228 eV/f.u.
data_SiGeI2
_cell_length_a 8.1869
_cell_length_b 8.1869
_cell_length_c 7.2396
_cell_angle_alpha 90.00
_cell_angle_beta 90.00
_cell_angle_gamma 90.00
_space_group_name_H-M_alt 'I -4 2 d'
_space_group_IT_number 122
_space_group_name_Hall 'I -4 2bw'
loop_
_atom_site_label
_atom_site_type_symbol
_atom_site_fract_x
_atom_site_fract_y
_atom_site_fract_z
_atom_site_occupancy
Si1 Si 0.0000 0.0000 0.0000 1
Ge1 Ge 0.0000 0.0000 0.5000 1
I1 I 0.2429 0.7500 0.1250 1

# RbNaMg2Ge (PBE, optimized geometry)
# * crystal system: tetragonal
data_RbNaMg2Ge
_cell_length_a 6.5548
_cell_length_b 6.5548
_cell_length_c 6.3964
_cell_angle_alpha 90.00
_cell_angle_beta 90.00
_cell_angle_gamma 90.00
_space_group_name_H-M_alt 'P 4/m m m'
_space_group_IT_number 123
_space_group_name_Hall '-P 4 2'
loop_
_atom_site_label
_atom_site_type_symbol
_atom_site_fract_x
_atom_site_fract_y
_atom_site_fract_z
_atom_site_occupancy
Rb1 Rb 0.0000 0.0000 0.0000 1
Na1 Na 0.5000 0.5000 0.5000 1
Mg1 Mg 0.0000 0.5000 0.0000 1
Ge1 Ge 0.0000 0.0000 0.5000 1

# Y3PbO (PBE, optimized geometry)
# * crystal system: trigonal
# * formation energy from raw total energies: -3.031 eV/f.u.
data_Y3PbO
_cell_length_a 7.7192
_cell_length_b 7.7192
_cell_length_c 12.5269
_cell_angle_alpha 90.00
_cell_angle_beta 90.00
_cell_angle_gamma 120.00
_space_group_name_H-M_alt 'R 3 m'
_space_group_IT_number 160
_space_group_name_Hall 'R 3 -2"'
loop_
_atom_site_label
_atom_site_type_symbol
_atom_site_fract_x
_atom_site_fract_y
_atom_site_fract_z
_atom_site_occupancy
Y1 Y 0.0399 0.5200 0.0000 1
Pb1 Pb 0.0000 0.0000 0.5274 1
O1 O 0.0000 0.0000 0.2615 1

# Ac9La2Tb (PBE, optimized geometry)
# * crystal system: tetragonal
data_Ac9La2Tb
_cell_length_a 5.5352
_cell_length_b 5.5352
_cell_length_c 16.6292
_cell_angle_alpha 90.00
_cell_angle_beta 90.00
_cell_angle_gamma 90.00
_space_group_name_H-M_alt 'P 4/m m m'
_space_group_IT_number 123
_space_group_name_Hall '-P 4 2'
loop_
_atom_site_label
_atom_site_type_symbol
_atom_site_fract_x
_atom_site_fract_y
_atom_site_fract_z
_atom_site_occupancy
Ac1 Ac 0.0000 0.0000 0.0000 1
Ac2 Ac 0.0000 0.0000 0.3319 1
Ac3 Ac 0.0000 0.5000 0.1643 1
Ac4 Ac 0.0000 0.5000 0.5000 1
La1 La 0.5000 0.5000 0.3322 1
Tb1 Tb 0.5000 0.5000 0.0000 1

# AcHo5Tm4 (PBE, optimized geometry)
# * crystal system: monoclinic
data_AcHo5Tm4
_cell_length_a 17.1531
_cell_length_b 3.5631
_cell_length_c 10.8985
_cell_angle_alpha 90.00
_cell_angle_beta 90.56
_cell_angle_gamma 90.00
_space_group_name_H-M_alt 'C 1 2/m 1'
_space_group_IT_number 12
_space_group_name_Hall '-C 2y'
loop_
_atom_site_label
_atom_site_type_symbol
_atom_site_fract_x
_atom_site_fract_y
_atom_site_fract_z
_atom_site_occupancy
Ac1 Ac 0.0000 0.0000 0.0000 1
Ho1 Ho 0.0000 0.0000 0.5000 1
Ho2 Ho 0.1734 0.5000 0.5495 1
Ho3 Ho 0.1767 0.5000 0.9407 1
Tm1 Tm 0.0255 0.5000 0.7417 1
Tm2 Tm 0.1507 0.0000 0.2504 1

# Sm3Mg2Zn9 (PBE, optimized geometry)
# * crystal system: orthorhombic
data_Sm3Mg2Zn9
_cell_length_a 4.5206
_cell_length_b 8.8778
_cell_length_c 13.6387
_cell_angle_alpha 90.00
_cell_angle_beta 90.00
_cell_angle_gamma 90.00
_space_group_name_H-M_alt 'I m m m'
_space_group_IT_number 71
_space_group_name_Hall '-I 2 2'
loop_
_atom_site_label
_atom_site_type_symbol
_atom_site_fract_x
_atom_site_fract_y
_atom_site_fract_z
_atom_site_occupancy
Sm1 Sm 0.0000 0.0000 0.0000 1
Sm2 Sm 0.0000 0.0000 0.2875 1
Mg1 Mg 0.0000 0.1850 0.5000 1
Zn1 Zn 0.0000 0.2823 0.1399 1
Zn2 Zn 0.0000 0.3590 0.3378 1
Zn3 Zn 0.0000 0.5000 0.0000 1

# CaMg2TeS (PBE, optimized geometry)
# * crystal system: tetragonal
# * formation energy from raw total energies: -2.697 eV/f.u.
data_CaMg2TeS
_cell_length_a 4.6462
_cell_length_b 4.6462
_cell_length_c 7.9895
_cell_angle_alpha 90.00
_cell_angle_beta 90.00
_cell_angle_gamma 90.00
_space_group_name_H-M_alt 'P 4/m m m'
_space_group_IT_number 123
_space_group_name_Hall '-P 4 2'
loop_
_atom_site_label
_atom_site_type_symbol
_atom_site_fract_x
_atom_site_fract_y
_atom_site_fract_z
_atom_site_occupancy
Ca1 Ca 0.0000 0.0000 0.0000 1
Mg1 Mg 0.0000 0.5000 0.5000 1
Te1 Te 0.5000 0.5000 0.0000 1
S1 S 0.5000 0.5000 0.5000 1

# MnFe2B2 (PBE, optimized geometry)
# * crystal system: tetragonal
data_MnFe2B2
_cell_length_a 6.0897
_cell_length_b 6.0897
_cell_length_c 2.4159
_cell_angle_alpha 90.00
_cell_angle_beta 90.00
_cell_angle_gamma 90.00
_space_group_name_H-M_alt 'P 4/m b m'
_space_group_IT_number 127
_space_group_name_Hall '-P 4 2ab'
loop_
_atom_site_label
_atom_site_type_symbol
_atom_site_fract_x
_atom_site_fract_y
_atom_site_fract_z
_atom_site_occupancy
Mn1 Mn 0.0000 0.0000 0.0000 1
Fe1 Fe 0.1343 0.3657 0.0000 1
B1 B 0.1635 0.6635 0.5000 1

# AcMg2Cu2 (PBE, optimized geometry)
# * crystal system: tetragonal
data_AcMg2Cu2
_cell_length_a 4.3094
_cell_length_b 4.3094
_cell_length_c 12.1084
_cell_angle_alpha 90.00
_cell_angle_beta 90.00
_cell_angle_gamma 90.00
_space_group_name_H-M_alt 'I 4/m m m'
_space_group_IT_number 139
_space_group_name_Hall '-I 4 2'
loop_
_atom_site_label
_atom_site_type_symbol
_atom_site_fract_x
_atom_site_fract_y
_atom_site_fract_z
_atom_site_occupancy
Ac1 Ac 0.0000 0.0000 0.0000 1
Mg1 Mg 0.0000 0.5000 0.2500 1
Cu1 Cu 0.0000 0.0000 0.3949 1

# Tl5In4Pb (PBE, optimized geometry)
# * crystal system: tetragonal
data_Tl5In4Pb
_cell_length_a 3.7158
_cell_length_b 3.7158
_cell_length_c 21.2664
_cell_angle_alpha 90.00
_cell_angle_beta 90.00
_cell_angle_gamma 90.00
_space_group_name_H-M_alt 'P 4/m m m'
_space_group_IT_number 123
_space_group_name_Hall '-P 4 2'
loop_
_atom_site_label
_atom_site_type_symbol
_atom_site_fract_x
_atom_site_fract_y
_atom_site_fract_z
_atom_site_occupancy
Tl1 Tl 0.0000 0.0000 0.0000 1
Tl2 Tl 0.0000 0.0000 0.1959 1
Tl3 Tl 0.0000 0.0000 0.3923 1
In1 In 0.5000 0.5000 0.0986 1
In2 In 0.5000 0.5000 0.2929 1
Pb1 Pb 0.5000 0.5000 0.5000 1

# SiHg2Ir (PBE, optimized geometry)
# * crystal system: orthorhombic
# * formation energy from raw total energies: 0.841 eV/f.u.
data_SiHg2Ir
_cell_length_a 2.9593
_cell_length_b 4.7813
_cell_length_c 11.7688
_cell_angle_alpha 90.00
_cell_angle_beta 90.00
_cell_angle_gamma 90.00
_space_group_name_H-M_alt 'I m m 2'
_space_group_IT_number 44
_space_group_name_Hall 'I 2 -2'
loop_
_atom_site_label
_atom_site_type_symbol
_atom_site_fract_x
_atom_site_fract_y
_atom_site_fract_z
_atom_site_occupancy
Si1 Si 0.0000 0.0000 0.0000 1
Hg1 Hg 0.0000 0.0000 0.3783 1
Hg2 Hg 0.0000 0.5000 0.1802 1
Ir1 Ir 0.0000 0.5000 0.6562 1

# Li4AlFe (PBE, optimized geometry)
# * crystal system: cubic
data_Li4AlFe
_cell_length_a 6.9712
_cell_length_b 6.9712
_cell_length_c 6.9712
_cell_angle_alpha 90.00
_cell_angle_beta 90.00
_cell_angle_gamma 90.00
_space_group_name_H-M_alt 'F -4 3 m'
_space_group_IT_number 216
_space_group_name_Hall 'F -4 2 3'
loop_
_atom_site_label
_atom_site_type_symbol
_atom_site_fract_x
_atom_site_fract_y
_atom_site_fract_z
_atom_site_occupancy
Li1 Li 0.1254 0.1254 0.1254 1
Al1 Al 0.2500 0.2500 0.7500 1
Fe1 Fe 0.0000 0.0000 0.5000 1

# LiIn5Se8 (PBE, optimized geometry)
# * crystal system: cubic
# * formation energy from raw total energies: -8.434 eV/f.u.
data_LiIn5Se8
_cell_length_a 11.4695
_cell_length_b 11.4695
_cell_length_c 11.4695
_cell_angle_alpha 90.00
_cell_angle_beta 90.00
_cell_angle_gamma 90.00
_space_group_name_H-M_alt 'F -4 3 m'
_space_group_IT_number 216
_space_group_name_Hall 'F -4 2 3'
loop_
_atom_site_label
_atom_site_type_symbol
_atom_site_fract_x
_atom_site_fract_y
_atom_site_fract_z
_atom_site_occupancy
Li1 Li 0.0000 0.0000 0.0000 1
In1 In 0.1323 0.1323 0.6323 1
In2 In 0.2500 0.2500 0.2500 1
Se1 Se 0.1151 0.1151 0.3849 1
Se2 Se 0.1298 0.1298 0.8702 1

# BaZnSbPt2 (PBE, optimized geometry)
# * crystal system: tetragonal
# * formation energy from raw total energies: 1.001 eV/f.u.
data_BaZnSbPt2
_cell_length_a 4.8304
_cell_length_b 4.8304
_cell_length_c 5.6729
_cell_angle_alpha 90.00
_cell_angle_beta 90.00
_cell_angle_gamma 90.00
_space_group_name_H-M_alt 'P 4/m m m'
_space_group_IT_number 123
_space_group_name_Hall '-P 4 2'
loop_
_atom_site_label
_atom_site_type_symbol
_atom_site_fract_x
_atom_site_fract_y
_atom_site_fract_z
_atom_site_occupancy
Ba1 Ba 0.0000 0.0000 0.0000 1
Zn1 Zn 0.0000 0.0000 0.5000 1
Sb1 Sb 0.5000 0.5000 0.0000 1
Pt1 Pt 0.0000 0.5000 0.5000 1

# HPt2Rh2 (PBE, optimized geometry)
# * crystal system: tetragonal
data_HPt2Rh2
_cell_length_a 5.2009
_cell_length_b 5.2009
_cell_length_c 4.8577
_cell_angle_alpha 90.00
_cell_angle_beta 90.00
_cell_angle_gamma 90.00
_space_group_name_H-M_alt 'P 4/m b m'
_space_group_IT_number 127
_space_group_name_Hall '-P 4 2ab'
loop_
_atom_site_label
_atom_site_type_symbol
_atom_site_fract_x
_atom_site_fract_y
_atom_site_fract_z
_atom_site_occupancy
H1 H 0.0000 0.0000 0.0000 1
Pt1 Pt 0.1809 0.3191 0.5000 1
Rh1 Rh 0.1787 0.6787 0.0000 1

# SrHgP2 (PBE, optimized geometry)
# * crystal system: cubic
data_SrHgP2
_cell_length_a 7.1933
_cell_length_b 7.1933
_cell_length_c 7.1933
_cell_angle_alpha 90.00
_cell_angle_beta 90.00
_cell_angle_gamma 90.00
_space_group_name_H-M_alt 'F -4 3 m'
_space_group_IT_number 216
_space_group_name_Hall 'F -4 2 3'
loop_
_atom_site_label
_atom_site_type_symbol
_atom_site_fract_x
_atom_site_fract_y
_atom_site_fract_z
_atom_site_occupancy
Sr1 Sr 0.0000 0.0000 0.0000 1
Hg1 Hg 0.2500 0.2500 0.7500 1
P1 P 0.0000 0.0000 0.5000 1
P2 P 0.2500 0.2500 0.2500 1

# Rb12Ca3Cl5 (PBE, optimized geometry)
# * crystal system: cubic
# * formation energy from raw total energies: -14.324 eV/f.u.
data_Rb12Ca3Cl5
_cell_length_a 21.8527
_cell_length_b 21.8527
_cell_length_c 21.8527
_cell_angle_alpha 90.00
_cell_angle_beta 90.00
_cell_angle_gamma 90.00
_space_group_name_H-M_alt 'I a -3 d'
_space_group_IT_number 230
_space_group_name_Hall '-I 4bd 2c 3'
loop_
_atom_site_label
_atom_site_type_symbol
_atom_site_fract_x
_atom_site_fract_y
_atom_site_fract_z
_atom_site_occupancy
Rb1 Rb 0.0379 0.0485 0.6438 1
Ca1 Ca 0.0000 0.2500 0.1250 1
Cl1 Cl 0.0000 0.0000 0.0000 1
Cl2 Cl 0.0000 0.2500 0.3750 1

# RbZn2Cd (PBE, optimized geometry)
# * crystal system: trigonal
data_RbZn2Cd
_cell_length_a 4.6834
_cell_length_b 4.6834
_cell_length_c 19.4606
_cell_angle_alpha 90.00
_cell_angle_beta 90.00
_cell_angle_gamma 120.00
_space_group_name_H-M_alt 'R -3 m'
_space_group_IT_number 166
_space_group_name_Hall '-R 3 2"'
loop_
_atom_site_label
_atom_site_type_symbol
_atom_site_fract_x
_atom_site_fract_y
_atom_site_fract_z
_atom_site_occupancy
Rb1 Rb 0.0000 0.0000 0.0000 1
Zn1 Zn 0.0000 0.0000 0.1803 1
Cd1 Cd 0.0000 0.0000 0.5000 1

Number 1: calculated total energy -0.0941 hartree per atom, DOS at the Fermi energy 5.9 states/eV/f.u.. Number 2: calculated total energy -0.1677 hartree per atom, DOS at the Fermi energy 3.4 states/eV/f.u.. Number 3: calculated total energy -0.1411 hartree per atom, DOS at the Fermi energy 1.2 states/eV/f.u.. Number 4: calculated total energy -0.1003 hartree per atom, DOS at the Fermi energy 1.0 states/eV/f.u.. Number 5: calculated total energy -0.0374 hartree per atom, DOS at the Fermi energy 2.5 states/eV/f.u.. Number 6: calculated total energy -0.2285 hartree per atom, DOS at the Fermi energy 3.4 states/eV/f.u.. Number 7: calculated total energy -0.1568 hartree per atom, DOS at the Fermi energy 21.7 states/eV/f.u.. Number 8: calculated total energy -0.1568 hartree per atom, DOS at the Fermi energy 13.2 states/eV/f.u.. Number 9: calculated total energy -0.0873 hartree per atom, DOS at the Fermi energy 8.0 states/eV/f.u.. Number 10: calculated total energy -0.1114 hartree per atom, DOS at the Fermi energy 0.1 states/eV/f.u.. Number 11: calculated total energy -0.2852 hartree per atom, DOS at the Fermi energy 4.2 states/eV/f.u.. Number 12: calculated total energy -0.1194 hartree per atom, DOS at the Fermi energy 3.8 states/eV/f.u.. Number 13: calculated total energy -0.0967 hartree per atom, DOS at the Fermi energy 4.2 states/eV/f.u.. Number 14: calculated total energy -0.1291 hartree per atom, DOS at the Fermi energy 1.2 states/eV/f.u.. Number 15: calculated total energy -0.1126 hartree per atom, DOS at the Fermi energy 6.2 states/eV/f.u.. Number 16: calculated total energy -0.1363 hartree per atom, DOS at the Fermi energy 5.9 states/eV/f.u.. Number 17: calculated total energy -0.1352 hartree per atom, DOS at the Fermi energy 4.3 states/eV/f.u.. Number 18: calculated total energy -0.2165 hartree per atom, DOS at the Fermi energy 5.9 states/eV/f.u.. Number 19: calculated total energy -0.1142 hartree per atom, DOS at the Fermi energy 3.6 states/eV/f.u.. Number 20: calculated total energy -0.0757 hartree per atom, DOS at the Fermi energy 15.0 states/eV/f.u.. Number 21: calculated total energy -0.0405 hartree per atom, DOS at the Fermi energy 2.5 states/eV/f.u..